First-principles (PBE with a Hubbard U) data for an optimized crystal structure of TlFeCoF6, as listed in Alexandria.

calculated total energy = -4.9330 eV/atom
N(E_F) = 0.00 states/eV per cell
total moment = 16.00 μB per cell

Geometry as POSCAR:
```
TlFeCoF6
1.0
7.325 0.000 0.000
0.000 7.541 0.000
-3.663 -3.770 5.263
Tl Fe Co F
2 2 2 12
Direct
0.911 0.661 0.822
0.089 0.339 0.178
0.500 0.500 0.000
0.500 0.000 0.000
0.500 0.000 0.500
0.000 0.000 0.500
0.441 0.691 0.882
0.833 0.083 0.665
0.814 0.074 0.245
0.431 0.671 0.245
0.431 0.074 0.245
0.814 0.671 0.245
0.559 0.309 0.118
0.167 0.917 0.335
0.186 0.926 0.755
0.569 0.329 0.755
0.569 0.926 0.755
0.186 0.329 0.755
```